[1]
Below is crystalline Sc2Cr4Si5 at its relaxed geometry, with properties calculated at the GGA-PBEsol level.

Results
Space group   No. 72
Spin magnetization   1.1 μB/cell
Raw formation energy   -6.77 eV per formula unit

Cell lengths 4.831, 7.481, 9.148 Å; angles 114.14, 105.31, 90.00 degrees
Each line ends with the local moment (μB).
Positions (direct):
Cr: 0.059 0.309 0.619  0.07
Cr: 0.438 0.192 0.875  0.23
Sc: 0.358 0.739 0.716  -0.02
Sc: 0.642 0.261 0.284  -0.02
Si: 0.250 0.000 0.000  -0.01
Si: 0.064 0.642 0.128  -0.01
Cr: 0.559 0.309 0.619  0.07
Si: 0.211 0.419 0.422  -0.01
Si: 0.750 0.000 0.000  -0.01
Cr: 0.062 0.317 0.125  0.23
Cr: 0.938 0.683 0.875  0.23
Si: 0.436 0.515 0.872  -0.01
Cr: 0.562 0.808 0.125  0.23
Si: 0.789 0.581 0.578  -0.01
Cr: 0.441 0.691 0.381  0.07
Si: 0.564 0.485 0.128  -0.01
Si: 0.936 0.358 0.872  -0.01
Cr: 0.941 0.691 0.381  0.07
Si: 0.289 0.997 0.578  -0.01
Si: 0.711 0.003 0.422  -0.01
Sc: 0.858 0.976 0.716  -0.02
Sc: 0.142 0.024 0.284  -0.02

[2]
Below is crystalline ScCrSi2 at its relaxed geometry, with properties calculated at the GGA-PBEsol level.

Results
Space group   No. 123
Polymorph energy (0 for the lowest one)   125 meV per atom
Spin magnetization   2.2 μB/cell
Raw formation energy   -1.08 eV per formula unit

Cell lengths 3.842, 3.860, 3.860 Å; angles 90.00, 90.00, 90.00 degrees
Each line ends with the local moment (μB).
Positions (direct):
Sc: 0.500 0.000 0.000  -0.08
Si: 0.000 0.500 0.000  -0.04
Cr: 0.500 0.500 0.500  2.17
Si: 0.000 0.000 0.500  -0.04

[3]
Below is crystalline ScCrSi2 at its relaxed geometry, with properties calculated at the GGA-PBEsol level.

Results
Space group   No. 123
Polymorph energy (0 for the lowest one)   0 meV per atom
Spin magnetization   1.0 μB/cell
Raw formation energy   -1.58 eV per formula unit

Cell lengths 2.957, 2.956, 6.469 Å; angles 90.00, 90.00, 90.00 degrees
Each line ends with the local moment (μB).
Positions (direct):
Si: 0.000 0.000 0.805  -0.02
Sc: 0.500 0.500 0.500  0.31
Si: 0.000 0.000 0.195  -0.02
Cr: 0.500 0.500 0.000  0.56

[4]
Below is crystalline ScCr2Si at its relaxed geometry, with properties calculated at the GGA-PBEsol level.

Results
Space group   No. 10
Spin magnetization   0.0 μB/cell
Raw formation energy   0.46 eV per formula unit

Cell lengths 2.759, 4.314, 4.679 Å; angles 90.00, 95.54, 90.00 degrees
Positions (direct):
Sc: 0.500 0.500 0.000
Cr: 0.833 0.000 0.765
Si: 0.000 0.500 0.500
Cr: 0.167 0.000 0.235

[5]
Below is crystalline ScCr3Sn at its relaxed geometry, with properties calculated at the GGA-PBEsol level.

Results
Space group   No. 221
DFT formation energy   1625 meV/atom
Spin magnetization   8.2 μB/cell

Cell lengths 4.517, 4.517, 4.517 Å; angles 90.00, 90.00, 90.00 degrees
Each line ends with the local moment (μB).
Positions (direct):
Sn: 0.500 0.500 0.500  -0.16
Sc: 0.000 0.000 0.000  -0.10
Cr: 0.000 0.500 0.000  2.63
Cr: 0.500 0.000 0.000  2.63
Cr: 0.000 0.000 0.500  2.63

[6]
Below is crystalline ScCrSn3 at its relaxed geometry, with properties calculated at the GGA-PBEsol level.

Results
Space group   No. 221
DFT formation energy   307 meV/atom
Spin magnetization   2.1 μB/cell

Cell lengths 4.969, 4.969, 4.969 Å; angles 90.00, 90.00, 90.00 degrees
Each line ends with the local moment (μB).
Positions (direct):
Sn: 0.500 0.000 0.000  -0.05
Cr: 0.000 0.000 0.000  1.76
Sn: 0.000 0.000 0.500  -0.05
Sc: 0.500 0.500 0.500  0.23
Sn: 0.000 0.500 0.000  -0.05

[7]
Below is crystalline Sr3ScCr at its relaxed geometry, with properties calculated at the GGA-PBEsol level.

Results
Space group   No. 221
DFT formation energy   878 meV/atom
Spin magnetization   2.4 μB/cell

Cell lengths 5.912, 5.912, 5.912 Å; angles 90.00, 90.00, 90.00 degrees
Each line ends with the local moment (μB).
Positions (direct):
Cr: 0.000 0.000 0.000  3.66
Sr: 0.000 0.500 0.000  0.00
Sr: 0.500 0.000 0.000  0.00
Sr: 0.000 0.000 0.500  0.00
Sc: 0.500 0.500 0.500  -0.74

[8]
Below is crystalline Sr4ScCr at its relaxed geometry, with properties calculated at the GGA-PBEsol level.

Results
Space group   No. 216
DFT formation energy   954 meV/atom
Spin magnetization   3.2 μB/cell

Cell lengths 6.956, 6.956, 6.956 Å; angles 60.00, 60.00, 60.00 degrees
Each line ends with the local moment (μB).
Positions (direct):
Sr: 0.375 0.876 0.375  -0.06
Sc: 0.000 0.000 0.000  -0.58
Sr: 0.876 0.375 0.375  -0.06
Sr: 0.375 0.375 0.876  -0.06
Cr: 0.750 0.750 0.750  4.08
Sr: 0.375 0.375 0.375  -0.06